--- a ---
# PBE-GGA TlOsAu2, relaxed
# SG = Immm (71)
# DOS(E_F) = 2.4 states/eV/f.u.
data_TlOsAu2
_symmetry_space_group_name_H-M 'P 1'
_symmetry_Int_Tables_number 1
_symmetry_space_group_name_Hall 'P 1'
_cell_length_a 6.3114
_cell_length_b 6.3114
_cell_length_c 6.3114
_cell_angle_alpha 152.90
_cell_angle_beta 136.20
_cell_angle_gamma 52.26
loop_
_atom_site_label
_atom_site_type_symbol
_atom_site_fract_x
_atom_site_fract_y
_atom_site_fract_z
Tl1 Tl 0.0000 0.0000 0.0000
Os1 Os 0.5000 0.5000 0.0000
Au1 Au 0.2929 0.7929 0.5000
Au2 Au 0.7071 0.2071 0.5000


--- b ---
# PBE-GGA TlOsAu2, relaxed
# SG = I4/mmm (139)
# DOS(E_F) = 3.3 states/eV/f.u.
data_TlOsAu2
_symmetry_space_group_name_H-M 'P 1'
_symmetry_Int_Tables_number 1
_symmetry_space_group_name_Hall 'P 1'
_cell_length_a 5.2681
_cell_length_b 5.2681
_cell_length_c 5.2681
_cell_angle_alpha 134.19
_cell_angle_beta 134.19
_cell_angle_gamma 66.78
loop_
_atom_site_label
_atom_site_type_symbol
_atom_site_fract_x
_atom_site_fract_y
_atom_site_fract_z
Tl1 Tl 0.0000 0.0000 0.0000
Os1 Os 0.5000 0.5000 0.0000
Au1 Au 0.2500 0.7500 0.5000
Au2 Au 0.7500 0.2500 0.5000


--- c ---
# PBE-GGA TlOsAu2, relaxed
# SG = Cmm2 (35)
# DOS(E_F) = 2.6 states/eV/f.u.
data_TlOsAu2
_symmetry_space_group_name_H-M 'P 1'
_symmetry_Int_Tables_number 1
_symmetry_space_group_name_Hall 'P 1'
_cell_length_a 2.9297
_cell_length_b 2.9297
_cell_length_c 10.0915
_cell_angle_alpha 90.00
_cell_angle_beta 90.00
_cell_angle_gamma 119.30
loop_
_atom_site_label
_atom_site_type_symbol
_atom_site_fract_x
_atom_site_fract_y
_atom_site_fract_z
Tl1 Tl 0.0000 0.0000 0.0000
Os1 Os 0.5000 0.5000 0.2517
Au1 Au 0.0000 0.0000 0.4815
Au2 Au 0.5000 0.5000 0.7249


--- d ---
# PBE-GGA TlOsAu2, relaxed
# SG = Cmmm (65)
# DOS(E_F) = 2.7 states/eV/f.u.
data_TlOsAu2
_symmetry_space_group_name_H-M 'P 1'
_symmetry_Int_Tables_number 1
_symmetry_space_group_name_Hall 'P 1'
_cell_length_a 5.0645
_cell_length_b 5.0645
_cell_length_c 3.0863
_cell_angle_alpha 90.00
_cell_angle_beta 90.00
_cell_angle_gamma 111.89
loop_
_atom_site_label
_atom_site_type_symbol
_atom_site_fract_x
_atom_site_fract_y
_atom_site_fract_z
Tl1 Tl 0.0000 0.0000 0.0000
Os1 Os 0.5000 0.5000 0.0000
Au1 Au 0.0000 0.5000 0.5000
Au2 Au 0.5000 0.0000 0.5000


Here are the energies relative to the best structure, in meV/atom: a 0; b 195; c 68; d 42.


--- a ---
# PBE-GGA TlOsAu2, relaxed
# SG = Pmm2 (25)
# DOS(E_F) = 3.5 states/eV/f.u.
data_TlOsAu2
_symmetry_space_group_name_H-M 'P 1'
_symmetry_Int_Tables_number 1
_symmetry_space_group_name_Hall 'P 1'
_cell_length_a 3.0672
_cell_length_b 4.7088
_cell_length_c 5.0869
_cell_angle_alpha 90.00
_cell_angle_beta 90.00
_cell_angle_gamma 90.00
loop_
_atom_site_label
_atom_site_type_symbol
_atom_site_fract_x
_atom_site_fract_y
_atom_site_fract_z
Tl1 Tl 0.0000 0.0000 0.0000
Os1 Os 0.0000 0.5000 0.3355
Au1 Au 0.5000 0.0000 0.4806
Au2 Au 0.5000 0.5000 0.8133


--- b ---
# PBE-GGA TlOsAu2, relaxed
# SG = P4/mmm (123)
# DOS(E_F) = 2.8 states/eV/f.u.
data_TlOsAu2
_symmetry_space_group_name_H-M 'P 1'
_symmetry_Int_Tables_number 1
_symmetry_space_group_name_Hall 'P 1'
_cell_length_a 4.0992
_cell_length_b 4.0992
_cell_length_c 4.3110
_cell_angle_alpha 90.00
_cell_angle_beta 90.00
_cell_angle_gamma 90.00
loop_
_atom_site_label
_atom_site_type_symbol
_atom_site_fract_x
_atom_site_fract_y
_atom_site_fract_z
Tl1 Tl 0.0000 0.0000 0.0000
Os1 Os 0.5000 0.5000 0.0000
Au1 Au 0.0000 0.5000 0.5000
Au2 Au 0.5000 0.0000 0.5000


Here are the energies relative to the best structure, in meV/atom: a 42; b 0.


--- a ---
# PBE-GGA TlOsAu2, relaxed
# SG = I-4m2 (119)
# DOS(E_F) = 3.6 states/eV/f.u.
data_TlOsAu2
_symmetry_space_group_name_H-M 'P 1'
_symmetry_Int_Tables_number 1
_symmetry_space_group_name_Hall 'P 1'
_cell_length_a 4.9843
_cell_length_b 4.9843
_cell_length_c 4.9843
_cell_angle_alpha 128.93
_cell_angle_beta 128.93
_cell_angle_gamma 75.13
loop_
_atom_site_label
_atom_site_type_symbol
_atom_site_fract_x
_atom_site_fract_y
_atom_site_fract_z
Tl1 Tl 0.0000 0.0000 0.0000
Os1 Os 0.7500 0.2500 0.5000
Au1 Au 0.2500 0.7500 0.5000
Au2 Au 0.5000 0.5000 0.0000


--- b ---
# PBE-GGA TlOsAu2, relaxed
# SG = R3m (160)
# DOS(E_F) = 1.7 states/eV/f.u.
data_TlOsAu2
_symmetry_space_group_name_H-M 'P 1'
_symmetry_Int_Tables_number 1
_symmetry_space_group_name_Hall 'P 1'
_cell_length_a 10.0726
_cell_length_b 10.0726
_cell_length_c 10.0726
_cell_angle_alpha 16.88
_cell_angle_beta 16.88
_cell_angle_gamma 16.88
loop_
_atom_site_label
_atom_site_type_symbol
_atom_site_fract_x
_atom_site_fract_y
_atom_site_fract_z
Tl1 Tl 0.0000 0.0000 0.0000
Os1 Os 0.7502 0.7502 0.7502
Au1 Au 0.2395 0.2395 0.2395
Au2 Au 0.4923 0.4923 0.4923


--- c ---
# PBE-GGA TlOsAu2, relaxed
# SG = I-42d (122)
# DOS(E_F) = 2.9 states/eV/f.u.
data_TlOsAu2
_symmetry_space_group_name_H-M 'P 1'
_symmetry_Int_Tables_number 1
_symmetry_space_group_name_Hall 'P 1'
_cell_length_a 10.5365
_cell_length_b 10.5365
_cell_length_c 10.5365
_cell_angle_alpha 158.38
_cell_angle_beta 158.38
_cell_angle_gamma 30.76
loop_
_atom_site_label
_atom_site_type_symbol
_atom_site_fract_x
_atom_site_fract_y
_atom_site_fract_z
Tl1 Tl 0.0000 0.0000 0.0000
Tl2 Tl 0.7500 0.2500 0.5000
Os1 Os 0.2500 0.7500 0.5000
Os2 Os 0.5000 0.5000 0.0000
Au1 Au 0.1372 0.6250 0.0122
Au2 Au 0.3750 0.3872 0.5122
Au3 Au 0.6128 0.1250 0.9878
Au4 Au 0.8750 0.8628 0.4878


Here are the energies relative to the best structure, in meV/atom: a 108; b 0; c 212.


--- a ---
# PBE-GGA TlOsAu2, relaxed
# SG = R-3m (166)
# DOS(E_F) = 4.2 states/eV/f.u.
data_TlOsAu2
_symmetry_space_group_name_H-M 'P 1'
_symmetry_Int_Tables_number 1
_symmetry_space_group_name_Hall 'P 1'
_cell_length_a 10.3688
_cell_length_b 10.3688
_cell_length_c 10.3688
_cell_angle_alpha 16.29
_cell_angle_beta 16.29
_cell_angle_gamma 16.29
loop_
_atom_site_label
_atom_site_type_symbol
_atom_site_fract_x
_atom_site_fract_y
_atom_site_fract_z
Tl1 Tl 0.0000 0.0000 0.0000
Os1 Os 0.5000 0.5000 0.5000
Au1 Au 0.2407 0.2407 0.2407
Au2 Au 0.7593 0.7593 0.7593


--- b ---
# PBE-GGA TlOsAu2, relaxed
# SG = Cm (8)
# DOS(E_F) = 2.4 states/eV/f.u.
data_TlOsAu2
_symmetry_space_group_name_H-M 'P 1'
_symmetry_Int_Tables_number 1
_symmetry_space_group_name_Hall 'P 1'
_cell_length_a 5.5374
_cell_length_b 5.5374
_cell_length_c 5.1892
_cell_angle_alpha 114.66
_cell_angle_beta 114.66
_cell_angle_gamma 31.00
loop_
_atom_site_label
_atom_site_type_symbol
_atom_site_fract_x
_atom_site_fract_y
_atom_site_fract_z
Tl1 Tl 0.0000 0.0000 0.0000
Os1 Os 0.7460 0.7460 0.0691
Au1 Au 0.2277 0.2277 0.5834
Au2 Au 0.4707 0.4707 0.4806


Here are the energies relative to the best structure, in meV/atom: a 22; b 0.


--- a ---
# PBE-GGA TlOsAu2, relaxed
# SG = P2/m (10)
# DOS(E_F) = 2.9 states/eV/f.u.
data_TlOsAu2
_symmetry_space_group_name_H-M 'P 1'
_symmetry_Int_Tables_number 1
_symmetry_space_group_name_Hall 'P 1'
_cell_length_a 2.7638
_cell_length_b 3.8450
_cell_length_c 7.5121
_cell_angle_alpha 90.00
_cell_angle_beta 90.43
_cell_angle_gamma 90.00
loop_
_atom_site_label
_atom_site_type_symbol
_atom_site_fract_x
_atom_site_fract_y
_atom_site_fract_z
Tl1 Tl 0.0000 0.0000 0.0000
Os1 Os 0.0000 0.0000 0.5000
Au1 Au 0.4961 0.5000 0.2971
Au2 Au 0.5039 0.5000 0.7029


--- b ---
# PBE-GGA TlOsAu2, relaxed
# SG = Fm-3m (225)
# DOS(E_F) = 3.0 states/eV/f.u.
data_TlOsAu2
_symmetry_space_group_name_H-M 'P 1'
_symmetry_Int_Tables_number 1
_symmetry_space_group_name_Hall 'P 1'
_cell_length_a 4.7017
_cell_length_b 4.7017
_cell_length_c 4.7017
_cell_angle_alpha 60.00
_cell_angle_beta 60.00
_cell_angle_gamma 60.00
loop_
_atom_site_label
_atom_site_type_symbol
_atom_site_fract_x
_atom_site_fract_y
_atom_site_fract_z
Tl1 Tl 0.0000 0.0000 0.0000
Os1 Os 0.5000 0.5000 0.5000
Au1 Au 0.2500 0.2500 0.2500
Au2 Au 0.7500 0.7500 0.7500


--- c ---
# PBE-GGA TlOsAu2, relaxed
# SG = P4mm (99)
# DOS(E_F) = 2.7 states/eV/f.u.
data_TlOsAu2
_symmetry_space_group_name_H-M 'P 1'
_symmetry_Int_Tables_number 1
_symmetry_space_group_name_Hall 'P 1'
_cell_length_a 2.9714
_cell_length_b 2.9714
_cell_length_c 8.4675
_cell_angle_alpha 90.00
_cell_angle_beta 90.00
_cell_angle_gamma 90.00
loop_
_atom_site_label
_atom_site_type_symbol
_atom_site_fract_x
_atom_site_fract_y
_atom_site_fract_z
Tl1 Tl 0.0000 0.0000 0.0000
Os1 Os 0.5000 0.5000 0.7495
Au1 Au 0.0000 0.0000 0.5293
Au2 Au 0.5000 0.5000 0.2847


--- d ---
# PBE-GGA TlOsAu2, relaxed
# SG = Cmmm (65)
# DOS(E_F) = 3.4 states/eV/f.u.
data_TlOsAu2
_symmetry_space_group_name_H-M 'P 1'
_symmetry_Int_Tables_number 1
_symmetry_space_group_name_Hall 'P 1'
_cell_length_a 2.9412
_cell_length_b 2.9412
_cell_length_c 10.3755
_cell_angle_alpha 90.00
_cell_angle_beta 90.00
_cell_angle_gamma 120.82
loop_
_atom_site_label
_atom_site_type_symbol
_atom_site_fract_x
_atom_site_fract_y
_atom_site_fract_z
Tl1 Tl 0.0000 0.0000 0.0000
Os1 Os 0.0000 0.0000 0.5000
Au1 Au 0.5000 0.5000 0.2715
Au2 Au 0.5000 0.5000 0.7285


Here are the energies relative to the best structure, in meV/atom: a 0; b 210; c 15; d 32.